11
Lattice="-2.6115 3.4745 8.7447 2.6115 -3.4745 8.7447 2.6115 3.4745 -8.7447" Properties=species:S:1:pos:R:3 comment="Nd3Sm4Al4 PBE-GGA relaxed" total_magnetization_mub_per_fu=0.00 ef_ev_per_atom=-0.1745 pbc="T T T"
Nd 0.0000 0.0000 0.0000
Nd 2.6115 0.0000 6.9934
Nd 0.0000 3.4745 1.7513
Sm 2.6115 1.6172 -3.1177
Sm 2.6115 1.6172 3.1177
Sm 0.0000 1.8573 5.6269
Sm 0.0000 1.8573 11.8624
Al 0.0000 0.0000 3.0675
Al 2.6115 2.1074 0.0000
Al 0.0000 1.3671 8.7447
Al 0.0000 0.0000 14.4219

---

9
Lattice="-2.2340 3.6559 6.7861 2.2340 -3.6559 6.7861 2.2340 3.6559 -6.7861" Properties=species:S:1:pos:R:3 comment="NdSm2Al6 PBE-GGA relaxed" total_magnetization_mub_per_fu=0.00 ef_ev_per_atom=-0.2363 polymorph_energy_mev_per_atom=246.9 pbc="T T T"
Nd 0.0000 0.0000 0.0000
Sm 2.2340 0.0000 5.0866
Sm 0.0000 3.6559 1.6995
Al 2.2340 1.4076 -2.4863
Al 2.2340 2.3040 0.0000
Al 2.2340 1.4076 2.4863
Al 0.0000 2.2483 4.2998
Al 0.0000 1.3519 6.7861
Al 0.0000 2.2483 9.2724

---

7
Lattice="-2.8978 2.8978 6.3636 2.8978 -2.8978 6.3636 2.8978 2.8978 -6.3636" Properties=species:S:1:pos:R:3 comment="NdSm4Al2 PBE-GGA relaxed" total_magnetization_mub_per_fu=0.00 ef_ev_per_atom=0.2165 polymorph_energy_mev_per_atom=397.8 pbc="T T T"
Nd 0.0000 0.0000 0.0000
Sm 2.8978 0.0000 0.0000
Sm 2.8978 0.0000 3.1818
Sm 0.0000 2.8978 0.0000
Sm 0.0000 2.8978 3.1818
Al 0.0000 0.0000 4.9273
Al 0.0000 0.0000 7.8000

---

7
Lattice="2.6997 1.5587 8.0367 -2.6997 1.5587 8.0367 0.0000 -3.1173 8.0367" Properties=species:S:1:pos:R:3 comment="NdSm4Al2 PBE-GGA relaxed" total_magnetization_mub_per_fu=0.00 ef_ev_per_atom=-0.1813 polymorph_energy_mev_per_atom=0.0 pbc="T T T"
Nd 0.0000 0.0000 0.0000
Sm 0.0000 0.0000 3.7010
Sm 0.0000 0.0000 10.0230
Sm 0.0000 0.0000 14.0871
Sm 0.0000 0.0000 20.4090
Al 0.0000 0.0000 6.7759
Al 0.0000 0.0000 17.3341

---

15
Lattice="9.5240 0.0000 0.0000 -4.7620 8.2480 0.0000 0.0000 0.0000 6.4673" Properties=species:S:1:pos:R:3 comment="Nd6Sm8Al PBE-GGA relaxed" total_magnetization_mub_per_fu=0.00 ef_ev_per_atom=0.0765 pbc="T T T"
Nd -2.1716 5.2940 1.1722
Nd 1.2631 3.7204 1.1722
Nd 3.8535 0.7663 5.2951
Nd 0.9085 7.4817 1.1722
Nd 3.4989 4.5277 5.2951
Nd 6.9336 2.9540 5.2951
Sm -3.3245 6.4497 4.4887
Sm 0.8387 2.1441 4.4887
Sm 2.2762 0.3457 1.9787
Sm 0.0000 5.4987 4.2951
Sm 4.7620 2.7493 2.1723
Sm 2.4858 7.9023 4.4887
Sm 3.9233 6.1039 1.9787
Sm 8.0865 1.7984 1.9787
Al 0.0000 0.0000 0.0000

---

12
Lattice="2.6205 -7.8668 0.0000 2.6205 7.8668 0.0000 0.0000 0.0000 7.4501" Properties=species:S:1:pos:R:3 comment="Nd2SmAl3 PBE-GGA relaxed" total_magnetization_mub_per_fu=0.00 ef_ev_per_atom=-0.3590 pbc="T T T"
Nd 0.0000 0.0000 0.0000
Nd 0.0000 0.0000 3.7250
Nd 2.6205 2.6080 0.0000
Nd 2.6205 -2.6080 0.0000
Sm 2.6205 2.6270 3.7250
Sm 2.6205 -2.6270 3.7250
Al 2.6205 5.2286 1.8885
Al 2.6205 5.2286 5.5616
Al 2.6205 0.0000 1.8917
Al 2.6205 0.0000 5.5583
Al 2.6205 -5.2286 1.8885
Al 2.6205 -5.2286 5.5616